[1]
Computed, not measured: TiGa2Pd3 after structural relaxation at the PBE-GGA level of DFT.

a b c (Å): 4.4137 4.4137 10.8281
angles (deg): 90.00 90.00 120.00
Closest atoms and distances in Å follow each position.
Sites, in units of the cell vectors:
Ti  0.3333  0.6667  0.6697  8 Pd 2.66-2.74
Ti  0.6667  0.3333  0.3303  8 Pd 2.66-2.74
Ga  0.0000  0.0000  0.5000  8 Pd 2.68-2.83
Ga  0.3333  0.6667  0.1781  8 Pd 2.63-2.77
Ga  0.6667  0.3333  0.8219  8 Pd 2.63-2.77
Ga  0.0000  0.0000  0.0000  8 Pd 2.58-2.68
Pd  0.3333  0.6667  0.4238  4 Ga 2.66-2.68, 4 Ti 2.66-2.74
Pd  0.6667  0.3333  0.0773  7 Ga 2.68-2.77, 1 Ti 2.74
Pd  0.0000  0.0000  0.7613  5 Ga 2.58-2.83, 3 Ti 2.73
Pd  0.0000  0.0000  0.2387  5 Ga 2.58-2.83, 3 Ti 2.73
Pd  0.3333  0.6667  0.9227  7 Ga 2.68-2.77, 1 Ti 2.74
Pd  0.6667  0.3333  0.5762  4 Ga 2.66-2.68, 4 Ti 2.66-2.74

Results
The relative energy among the computed polymorphs comes out at 0 meV/atom. The calculation puts the density of states at the Fermi level at 8.06 states/eV per cell. The formation enthalpy at 0 K is -0.61 eV per atom.

[2]
Computed, not measured: CdTe2C after structural relaxation at the PBE-GGA level of DFT.

a b c (Å): 5.9061 5.9061 7.5550
angles (deg): 66.99 66.99 90.00
Closest atoms and distances in Å follow each position.
Sites, in units of the cell vectors:
C  0.5000  0.5000  0.0000  4 Te 2.39
C  0.2500  0.7500  0.5000  4 Te 2.39
Te  0.5483  0.1250  0.2500  2 C 2.39
Te  0.2017  0.6250  0.2500  2 C 2.39
Te  0.3750  0.4517  0.7500  2 C 2.39
Te  0.8750  0.7983  0.7500  2 C 2.39
Cd  0.0000  0.0000  0.0000  4 Te 2.89
Cd  0.7500  0.2500  0.5000  4 Te 2.89

Results
The relative energy among the computed polymorphs comes out at 0 meV/atom. The calculation puts the density of states at the Fermi level at 0.70 states/eV per cell. As for the raw formation energy: 831 meV/atom.

[3]
Computed, not measured: Ti3BiB after structural relaxation at the PBE-GGA level of DFT.

a b c (Å): 4.3695 4.3695 4.3695
angles (deg): 90.00 90.00 90.00
Closest atoms and distances in Å follow each position.
Sites, in units of the cell vectors:
B  0.0000  0.0000  0.0000  6 Ti 2.18
Bi  0.5000  0.5000  0.5000  12 Ti 3.09
Ti  0.0000  0.5000  0.0000  2 B 2.18
Ti  0.0000  0.0000  0.5000  2 B 2.18
Ti  0.5000  0.0000  0.0000  2 B 2.18

Results
The relative energy among the computed polymorphs comes out at 51 meV/atom. The calculation puts the density of states at the Fermi level at 3.26 states/eV per cell. The formation enthalpy at 0 K is -0.30 eV per atom.